A plane-wave DFT calculation with meta-GGA SCAN was carried out for a PBEsol-optimized structure of Li3MnO2F.

The structure in POSCAR format:
```
Li3MnO2F
1.0
8.046 0.000 0.000
0.000 8.714 0.000
0.000 0.000 3.803
Li Mn O F
12 4 8 4
Direct
0.112 0.101 0.000
0.120 0.843 0.500
0.139 0.651 0.000
0.361 0.151 0.500
0.380 0.343 0.000
0.388 0.601 0.500
0.612 0.399 0.500
0.620 0.657 0.000
0.639 0.849 0.500
0.861 0.349 0.000
0.880 0.157 0.500
0.888 0.899 0.000
0.128 0.394 0.500
0.372 0.894 0.000
0.628 0.106 0.000
0.872 0.606 0.500
0.111 0.606 0.500
0.144 0.881 0.000
0.356 0.381 0.500
0.389 0.106 0.000
0.611 0.894 0.000
0.644 0.619 0.500
0.856 0.119 0.000
0.889 0.394 0.500
0.120 0.164 0.500
0.380 0.664 0.000
0.620 0.336 0.000
0.880 0.836 0.500
```

Values from the calculation:
Uncorrected formation energy in eV/atom: -2.249
V in Å³ per atom: 9.5
DOS at the Fermi energy in states/eV/atom: 0.027
M_tot in μB/f.u.: 2.99